No. 1
This record from Alexandria via LeMat-Bulk describes a geometry-optimized Ti2V6W structure. The functional is PBE.

```
Ti2V6W
1.0
-1.7277 -1.9212 -0.3765
2.1393 -3.2195 6.6118
-5.9143 4.8451 -0.1629
V W Ti
6 1 2
Direct
0.6473 0.0001 0.3378 V
0.3527 0.6623 0.6622 V
0.5000 0.3287 0.0000 V
0.5000 0.6713 0.0000 V
0.3527 0.9999 0.6622 V
0.6473 0.3377 0.3378 V
0.0000 0.0000 0.0000 W
0.9974 0.3340 0.6681 Ti
0.0026 0.6660 0.3319 Ti
```

## Properties
The energy of formation comes out at 128 meV/atom.



No. 2
This record from Alexandria via LeMat-Bulk describes a geometry-optimized FeAgTePd structure. The functional is PBE.

```
FeAgTePd
1.0
-3.6501 -1.4660 -1.7230
1.7228 -3.0308 -1.0710
-1.0394 -1.9565 3.8646
Te Ag Pd Fe
1 1 1 1
Direct
0.3137 0.5000 0.3211 Te
0.8141 0.5000 0.8200 Ag
0.3142 0.0000 0.8218 Pd
0.8137 0.0000 0.3199 Fe
```

## Properties
The value obtained for the energy relative to the lowest polymorph listed for this composition is 0.021 eV per atom. The value obtained for the uncorrected formation energy is 0.16 eV/atom.



no.,calculated total energy (eV/atom),size of the total moment (μB per cell)
1,-9.145,0.0
2,-4.755,3.0